[1]
Material: NaScPb2
Method: DFT, PBE
State: relaxed

a = 4.877 Å, b = 4.877 Å, c = 6.541 Å
α = 68.11°, β = 68.11°, γ = 60.00°
Atoms (fractional coordinates):
Sc  0.678  0.678  0.966
Na  0.488  0.488  0.537
Pb  0.068  0.068  0.795
Pb  0.266  0.266  0.202

Properties
Crystal system = trigonal

=====

[2]
Material: NaScPb
Method: DFT, PBE
State: relaxed

a = 4.732 Å, b = 9.413 Å, c = 3.707 Å
α = 101.35°, β = 90.01°, γ = 104.56°
Atoms (fractional coordinates):
Sc  0.255  0.453  0.032
Sc  0.878  0.699  0.655
Pb  0.423  0.789  0.200
Pb  0.710  0.363  0.487
Na  0.067  0.076  0.343
Na  0.567  0.076  0.843

Properties
Energy above the most stable polymorph in this dataset = 0.069 eV/atom
Crystal system = orthorhombic

=====

[3]
Material: NaScPb6
Method: DFT, PBE
State: relaxed

a = 4.805 Å, b = 4.805 Å, c = 9.939 Å
α = 90.00°, β = 90.00°, γ = 90.00°
Atoms (fractional coordinates):
Pb  0.000  0.500  0.245
Pb  0.500  0.000  0.755
Pb  0.500  0.500  0.000
Pb  0.500  0.000  0.245
Pb  0.000  0.500  0.755
Pb  0.500  0.500  0.500
Na  0.000  0.000  0.500
Sc  0.000  0.000  0.000

Properties
Crystal system = tetragonal

=====

[4]
Material: NaScPb
Method: DFT, PBE
State: relaxed

a = 7.260 Å, b = 5.568 Å, c = 5.568 Å
α = 62.24°, β = 109.06°, γ = 70.94°
Site moments in Bohr magnetons follow the coordinates.
Atoms (fractional coordinates):
Sc  0.000  0.655  0.655  0.53
Sc  0.000  0.345  0.345  0.53
Pb  0.000  0.000  0.000  -0.05
Pb  0.500  0.000  0.000  -0.03
Na  0.500  0.338  0.338  0.01
Na  0.500  0.662  0.662  0.01

Properties
Energy above the most stable polymorph in this dataset = 0.167 eV/atom
Crystal system = monoclinic

=====

[5]
Material: NaScPb
Method: DFT, PBE
State: relaxed

a = 3.343 Å, b = 3.343 Å, c = 7.810 Å
α = 102.36°, β = 102.36°, γ = 90.00°
Site moments in Bohr magnetons follow the coordinates.
Atoms (fractional coordinates):
Pb  0.942  0.942  0.884  -0.01
Sc  0.299  0.299  0.598  0.18
Na  0.609  0.609  0.217  0.00

Properties
Energy above the most stable polymorph in this dataset = 0.218 eV/atom
Crystal system = tetragonal

=====

[6]
Material: Na2ScPb9
Method: DFT, PBE
State: relaxed

a = 4.841 Å, b = 4.841 Å, c = 14.930 Å
α = 90.00°, β = 90.00°, γ = 90.00°
Atoms (fractional coordinates):
Pb  0.500  0.500  0.000
Pb  0.000  0.500  0.161
Pb  0.500  0.500  0.334
Pb  0.000  0.500  0.500
Pb  0.500  0.000  0.839
Pb  0.500  0.000  0.500
Pb  0.500  0.500  0.666
Pb  0.000  0.500  0.839
Pb  0.500  0.000  0.161
Sc  0.000  0.000  0.000
Na  0.000  0.000  0.670
Na  0.000  0.000  0.330

Properties
Crystal system = tetragonal

=====

| no. | calculated formation energy (eV per atom) |
| --- | --- |
| 1 | -0.021 |
| 2 | -0.187 |
| 3 | -0.129 |
| 4 | -0.090 |
| 5 | -0.038 |
| 6 | -0.126 |